No. 1
{
  "formula": "CaOsSe",
  "functional": "PBE",
  "state": "optimized geometry",
  "total_energy_ev_per_atom": -5.55,
  "n_ef_per_ev_fu": 1.158,
  "raw_formation_energy_kj_per_mol_atoms": 1.7,
  "space_group": "I4mm (107)",
  "cell": [[-2.031, 5.780, 0.981], [-3.340, 4.915, -1.783], [-2.810, -0.358, 1.442]],
  "species": ["Se", "Os", "Ca"],
  "fractional_positions": [[0.698, 0.698, 0.302], [0.308, 0.308, 0.692], [0.994, 0.994, 0.006]]
}

=====

No. 2
{
  "formula": "Ca2OsSe",
  "functional": "PBE",
  "state": "optimized geometry",
  "total_energy_ev_per_atom": -4.70,
  "n_ef_per_ev_fu": 3.019,
  "raw_formation_energy_kj_per_mol_atoms": -2.1,
  "space_group": "P4mm (99)",
  "cell": [[-3.958, -0.690, 1.193], [0.686, -4.133, -0.117], [1.728, 0.123, 5.806]],
  "species": ["Ca", "Ca", "Se", "Os"],
  "fractional_positions": [[0.000, 0.000, 0.893], [0.500, 0.500, 0.355], [0.500, 0.500, 0.858], [0.000, 0.000, 0.393]]
}

=====

No. 3
{
  "formula": "Ca2OsSe",
  "functional": "PBE",
  "state": "optimized geometry",
  "total_energy_ev_per_atom": -4.67,
  "n_ef_per_ev_fu": 2.913,
  "raw_formation_energy_kj_per_mol_atoms": 1.1,
  "space_group": "I-4m2 (119)",
  "cell": [[5.998, 0.001, 0.000], [3.075, 5.150, 0.000], [-4.537, -2.575, 2.960]],
  "species": ["Ca", "Ca", "Os", "Se"],
  "fractional_positions": [[0.250, 0.750, 0.500], [0.000, 0.000, 0.000], [0.500, 0.500, 0.000], [0.750, 0.250, 0.500]]
}

=====

No. 4
{
  "formula": "Ca2OsSe",
  "functional": "PBE",
  "state": "optimized geometry",
  "total_energy_ev_per_atom": -4.97,
  "n_ef_per_ev_fu": 0.634,
  "raw_formation_energy_kj_per_mol_atoms": -28.0,
  "space_group": "Cm (8)",
  "cell": [[5.990, 0.010, -0.001], [5.057, 3.211, -0.001], [1.420, 0.414, 4.684]],
  "species": ["Ca", "Ca", "Os", "Se"],
  "fractional_positions": [[0.985, 0.985, 0.041], [0.779, 0.779, 0.695], [0.538, 0.538, 0.505], [0.199, 0.199, 0.258]]
}